First-principles (PBE) data for a relaxed BaMnSe3 crystal, as listed in Alexandria.

a b c (Å): 6.1997 6.1997 6.1997
angles (deg): 90.00 90.00 90.00
With the nearest neighbours (Å) after each atom.
Atoms (fractional coordinates):
Ba: 0.0000 0.0000 0.0000  6 Se 3.10
Mn: 0.5000 0.5000 0.5000  12 Se 4.38
Se: 0.0000 0.0000 0.5000  2 Ba 3.10
Se: 0.0000 0.5000 0.0000  2 Ba 3.10
Se: 0.5000 0.0000 0.0000  2 Ba 3.10

Computed properties:
For the formation energy from raw total energies, the calculation gives 0.575 eV per atom. Its mass density is 2.99 g/cm³.


First-principles (PBE) data for a relaxed Ba5MnSe8 crystal, as listed in Alexandria.

a b c (Å): 8.5353 8.5353 8.5353
angles (deg): 114.04 114.04 100.68
With the nearest neighbours (Å) after each atom.
Atoms (fractional coordinates):
Ba: 0.0000 0.0000 0.0000  4 Se 3.20
Ba: 0.2531 0.1229 0.6033  7 Se 3.25-3.51
Ba: 0.3502 0.7469 0.8698  7 Se 3.25-3.51
Ba: 0.5196 0.6498 0.3967  7 Se 3.25-3.51
Ba: 0.8771 0.4804 0.1302  7 Se 3.25-3.51
Mn: 0.7500 0.2500 0.5000  4 Se 2.48
Se: 0.0479 0.3653 0.8211  1 Mn 2.48
Se: 0.2021 0.3974 0.4196  5 Ba 3.20-3.31, 1 Se 3.25
Se: 0.2175 0.7979 0.1953  5 Ba 3.20-3.31, 1 Se 3.25
Se: 0.5442 0.2269 0.1789  1 Mn 2.48
Se: 0.6026 0.0221 0.8047  5 Ba 3.20-3.31, 1 Se 3.25
Se: 0.6347 0.4558 0.6827  1 Mn 2.48
Se: 0.7731 0.9521 0.3173  1 Mn 2.48
Se: 0.9779 0.7825 0.5804  5 Ba 3.20-3.31, 1 Se 3.25

Computed properties:
For the formation energy from raw total energies, the calculation gives -1.337 eV per atom. Its mass density is 4.85 g/cm³.


First-principles (PBE) data for a relaxed BaMnSe3 crystal, as listed in Alexandria.

a b c (Å): 9.3454 9.3454 9.3454
angles (deg): 60.00 60.00 60.00
With the nearest neighbours (Å) after each atom.
Atoms (fractional coordinates):
Ba: 0.0000 0.0000 0.0000  6 Se 3.28
Ba: 0.0000 0.0000 0.5000  6 Se 3.28
Ba: 0.0000 0.5000 0.0000  6 Se 3.28
Ba: 0.5000 0.0000 0.0000  6 Se 3.28
Mn: 0.0000 0.5000 0.5000  6 Se 2.54
Mn: 0.5000 0.0000 0.5000  6 Se 2.54
Mn: 0.5000 0.5000 0.0000  6 Se 2.54
Mn: 0.5000 0.5000 0.5000  6 Se 2.54
Se: 0.1742 0.1742 0.5758  2 Mn 2.54
Se: 0.1742 0.5758 0.1742  2 Mn 2.54
Se: 0.1742 0.5758 0.5758  2 Mn 2.54
Se: 0.4242 0.4242 0.8258  2 Mn 2.54
Se: 0.4242 0.8258 0.4242  2 Mn 2.54
Se: 0.4242 0.8258 0.8258  2 Mn 2.54
Se: 0.5758 0.1742 0.1742  2 Mn 2.54
Se: 0.5758 0.1742 0.5758  2 Mn 2.54
Se: 0.5758 0.5758 0.1742  2 Mn 2.54
Se: 0.8258 0.4242 0.4242  2 Mn 2.54
Se: 0.8258 0.4242 0.8258  2 Mn 2.54
Se: 0.8258 0.8258 0.4242  2 Mn 2.54

Computed properties:
For the formation energy from raw total energies, the calculation gives -0.785 eV per atom. Its mass density is 4.94 g/cm³.


First-principles (PBE) data for a relaxed Ba3MnSe crystal, as listed in Alexandria.

a b c (Å): 6.2908 6.2908 6.2908
angles (deg): 90.00 90.00 90.00
With the nearest neighbours (Å) after each atom.
Atoms (fractional coordinates):
Ba: 0.0000 0.0000 0.5000  2 Se 3.15
Ba: 0.0000 0.5000 0.0000  2 Se 3.15
Ba: 0.5000 0.0000 0.0000  2 Se 3.15
Mn: 0.5000 0.5000 0.5000  12 Ba 4.45
Se: 0.0000 0.0000 0.0000  6 Ba 3.15

Computed properties:
For the formation energy from raw total energies, the calculation gives -0.262 eV per atom. The calculation puts the distance to the lowest polymorph of the same formula at 0.000 eV per atom. Its mass density is 3.64 g/cm³.


First-principles (PBE) data for a relaxed BaMnSe3 crystal, as listed in Alexandria.

a b c (Å): 8.8682 6.6535 12.1190
angles (deg): 90.00 131.44 90.00
With the nearest neighbours (Å) after each atom.
Atoms (fractional coordinates):
Ba: 0.1364 0.2489 0.1876  6 Se 3.34-3.61, 1 Mn 3.61
Ba: 0.1364 0.2511 0.6876  6 Se 3.34-3.61, 1 Mn 3.61
Ba: 0.8636 0.7489 0.3124  6 Se 3.34-3.61, 1 Mn 3.61
Ba: 0.8636 0.7511 0.8124  6 Se 3.34-3.61, 1 Mn 3.61
Mn: 0.4109 0.7497 0.4291  5 Se 2.38-2.44
Mn: 0.4109 0.7503 0.9291  5 Se 2.38-2.44
Mn: 0.5891 0.2497 0.0709  5 Se 2.38-2.44
Mn: 0.5891 0.2503 0.5709  5 Se 2.38-2.44
Se: 0.0979 0.7491 0.1817  1 Mn 2.38
Se: 0.0979 0.7509 0.6817  1 Mn 2.38
Se: 0.3820 0.9999 0.5617  2 Mn 2.43-2.44
Se: 0.3820 0.5001 0.0617  2 Mn 2.43-2.44
Se: 0.3890 0.5042 0.5675  2 Mn 2.43-2.44
Se: 0.3890 0.9958 0.0675  2 Mn 2.43-2.44
Se: 0.6110 0.0042 0.9325  2 Mn 2.43-2.44
Se: 0.6110 0.4958 0.4325  2 Mn 2.43-2.44
Se: 0.6180 0.0001 0.4383  2 Mn 2.43-2.44
Se: 0.6180 0.4999 0.9383  2 Mn 2.43-2.44
Se: 0.9021 0.2491 0.3183  1 Mn 2.38
Se: 0.9021 0.2509 0.8183  1 Mn 2.38

Computed properties:
For the formation energy from raw total energies, the calculation gives -1.035 eV per atom. Its mass density is 5.32 g/cm³.


First-principles (PBE) data for a relaxed Ba2MnSe crystal, as listed in Alexandria.

a b c (Å): 4.6353 6.7472 6.7472
angles (deg): 40.52 90.00 90.00
With the nearest neighbours (Å) after each atom.
Atoms (fractional coordinates):
Ba: 0.0000 0.0000 0.0000  4 Se 3.43, 3 Mn 3.51-3.71
Ba: 0.5000 0.2821 0.2821  4 Mn 3.43, 3 Se 3.51-3.71
Mn: 0.0000 0.7067 0.7067  2 Se 2.85
Se: 0.5000 0.5753 0.5753  2 Mn 2.85

Computed properties:
For the formation energy from raw total energies, the calculation gives -0.506 eV per atom. Its mass density is 4.95 g/cm³.


Number 1: DFT total energy -3.734 eV per atom. Number 2: DFT total energy -4.670 eV per atom. Number 3: DFT total energy -5.094 eV per atom. Number 4: DFT total energy -3.946 eV per atom. Number 5: DFT total energy -5.344 eV per atom. Number 6: DFT total energy -4.631 eV per atom.